# 1
KGe2F5 after structural relaxation, computed with GGA-PBE.

Lattice parameters (Å, degrees): 7.5256 12.3726 7.5382 90.00 90.00 90.00
Closest atoms and distances in Å follow each position.
Sites, in units of the cell vectors:
K1 0.0000 0.0481 0.2500  6 F 2.66-2.70
K2 0.0000 0.9519 0.7500  6 F 2.66-2.70
K3 0.5000 0.4519 0.7500  6 F 2.66-2.70
K4 0.5000 0.5481 0.2500  6 F 2.66-2.70
Ge1 0.0938 0.3413 0.0236  3 F 1.85-2.04
Ge2 0.0938 0.6587 0.5236  3 F 1.85-2.04
Ge3 0.4062 0.1587 0.5236  3 F 1.85-2.04
Ge4 0.4062 0.8413 0.0236  3 F 1.85-2.04
Ge5 0.5938 0.1587 0.9764  3 F 1.85-2.04
Ge6 0.5938 0.8413 0.4764  3 F 1.85-2.04
Ge7 0.9062 0.3413 0.4764  3 F 1.85-2.04
Ge8 0.9062 0.6587 0.9764  3 F 1.85-2.04
F1 0.0000 0.4108 0.2500  2 Ge 2.04
F2 0.0000 0.5892 0.7500  2 Ge 2.04
F3 0.1834 0.2265 0.1535  1 Ge 1.85
F4 0.1834 0.7735 0.6535  1 Ge 1.85
F5 0.1946 0.0789 0.5429  1 Ge 1.88
F6 0.1946 0.9211 0.0429  1 Ge 1.88
F7 0.3054 0.4211 0.0429  1 Ge 1.88
F8 0.3054 0.5789 0.5429  1 Ge 1.88
F9 0.3166 0.2735 0.6535  1 Ge 1.85
F10 0.3166 0.7265 0.1535  1 Ge 1.85
F11 0.5000 0.0892 0.7500  2 Ge 2.04
F12 0.5000 0.9108 0.2500  2 Ge 2.04
F13 0.6834 0.2735 0.8465  1 Ge 1.85
F14 0.6834 0.7265 0.3465  1 Ge 1.85
F15 0.6946 0.4211 0.4571  1 Ge 1.88
F16 0.6946 0.5789 0.9571  1 Ge 1.88
F17 0.8054 0.0789 0.9571  1 Ge 1.88
F18 0.8054 0.9211 0.4571  1 Ge 1.88
F19 0.8166 0.2265 0.3465  1 Ge 1.85
F20 0.8166 0.7735 0.8465  1 Ge 1.85

Values from the calculation:
Its volume is 702 Å³/cell. Its total DFT energy (no corrections) is -4.807 eV per atom. As for the energy relative to the elements, uncorrected: -18.76 eV/f.u.

***

# 2
KGeF3 after structural relaxation, computed with GGA-PBE.

Lattice parameters (Å, degrees): 7.1354 7.1354 4.3767 104.41 104.41 110.46
Closest atoms and distances in Å follow each position.
Sites, in units of the cell vectors:
K1 0.2001 0.7999 0.0000  4 F 2.62-2.72
K2 0.7999 0.2001 0.0000  4 F 2.62-2.72
Ge1 0.3614 0.3614 0.7083  2 F 1.92
Ge2 0.6647 0.6647 0.3067  4 F 1.91-1.94
F1 0.1519 0.3968 0.8880  1 Ge 1.92
F2 0.3968 0.1519 0.8880  1 Ge 1.92
F3 0.5149 0.7360 0.5990  1 Ge 1.94
F4 0.7360 0.5149 0.5990  1 Ge 1.94
F5 0.7457 0.9608 0.3674  1 Ge 1.91
F6 0.9608 0.7457 0.3674  1 Ge 1.91

Values from the calculation:
Its volume is 188 Å³/cell. Its total DFT energy (no corrections) is -4.630 eV per atom. As for the energy relative to the elements, uncorrected: -11.82 eV/f.u.

***

# 3
K2GeF8 after structural relaxation, computed with GGA-PBE.

Lattice parameters (Å, degrees): 6.2276 6.2276 6.5637 117.47 117.47 59.72
Closest atoms and distances in Å follow each position.
Sites, in units of the cell vectors:
K1 0.2495 0.2495 0.2358  5 F 2.65-2.79
K2 0.7505 0.7505 0.7642  5 F 2.65-2.79
Ge1 0.5000 0.5000 0.0000  6 F 1.83-1.85
F1 0.0787 0.0787 0.5493  1 F 1.46
F2 0.2131 0.6281 0.0943  1 Ge 1.83
F3 0.3329 0.3329 0.6947  1 Ge 1.85
F4 0.3719 0.7869 0.9057  1 Ge 1.83
F5 0.6281 0.2131 0.0943  1 Ge 1.83
F6 0.6671 0.6671 0.3053  1 Ge 1.85
F7 0.7869 0.3719 0.9057  1 Ge 1.83
F8 0.9213 0.9213 0.4507  1 F 1.46

Values from the calculation:
Its volume is 186 Å³/cell. Its total DFT energy (no corrections) is -4.236 eV per atom. As for the energy relative to the elements, uncorrected: -24.81 eV/f.u.